1.
Entry from the Alexandria database: a relaxed Na4Ce3Te8 crystal (PBE).

Geometry as POSCAR:
```
Na4Ce3Te8
1.0
7.9532 0.0000 4.2893
2.8199 7.4365 4.2893
-0.0544 -0.0375 9.6188
Te Ce Na
8 3 4
direct
0.7636 0.7636 0.7093
0.7790 0.2517 0.7176
0.2210 0.7483 0.2824
0.7483 0.2210 0.2824
0.2364 0.2364 0.2907
0.7483 0.7483 0.2824
0.2517 0.7790 0.7176
0.2517 0.2517 0.7176
0.5000 0.0000 0.5000
0.0000 0.0000 0.5000
0.0000 0.5000 0.5000
0.3618 0.3618 0.9145
0.0000 0.0000 0.0000
0.6382 0.6382 0.0855
0.5000 0.5000 0.5000
```

Computed properties:
M_tot: 0.00 μB per atom
Formation energy (no corrections): -1.064 eV/atom



2.
Entry from the Alexandria database: a relaxed NaCe3Te4 crystal (PBE).

Geometry as POSCAR:
```
NaCe3Te4
1.0
-0.5339 3.1537 3.1227
-6.3228 -0.7835 -0.2898
0.4911 -6.3759 6.5230
Te Ce Na
4 3 1
direct
0.5000 0.0000 0.7494
0.0000 0.5000 0.0000
0.0000 0.5000 0.5000
0.5000 0.0000 0.2506
0.5000 0.5000 0.2530
0.5000 0.5000 0.7470
0.0000 0.0000 0.5000
0.0000 0.0000 0.0000
```

Computed properties:
M_tot: 0.43 μB per atom
Formation energy (no corrections): -1.307 eV/atom
N(E_F): 22.0 states/eV per cell



3.
Entry from the Alexandria database: a relaxed Na3CeTh3Te8 crystal (PBE).

Geometry as POSCAR:
```
Na3CeTh3Te8
1.0
-1.8591 -0.2150 -8.7059
8.4676 -0.0986 2.7483
-5.1893 -7.5507 1.2946
Na Te Th Ce
3 8 3 1
direct
0.0000 0.5000 0.0000
0.5000 0.5000 0.0000
0.0000 0.0000 0.0000
0.7412 0.9917 0.7421
0.2516 0.5031 0.2548
0.7495 0.0083 0.2579
0.7494 0.4989 0.2579
0.2588 0.0083 0.2579
0.2506 0.5011 0.7422
0.2505 0.9917 0.7421
0.7484 0.4969 0.7452
0.0000 0.5000 0.5000
0.5000 0.0000 0.5000
0.5000 0.5000 0.5000
0.0000 0.0000 0.5000
```

Computed properties:
M_tot: 0.10 μB per atom
Formation energy (no corrections): -1.149 eV/atom
N(E_F): 14.5 states/eV per cell



4.
Entry from the Alexandria database: a relaxed Na3CeTh2Te6 crystal (PBE).

Geometry as POSCAR:
```
Na3CeTh2Te6
1.0
-5.7257 3.0031 4.1962
1.8090 -7.4571 0.7273
6.3381 3.2516 3.9619
Te Th Na Ce
6 2 3 1
direct
0.4184 0.0814 0.2441
0.5816 0.9186 0.7559
0.7445 0.7445 0.2444
0.0814 0.4184 0.2441
0.9186 0.5816 0.7559
0.2555 0.2555 0.7556
0.3334 0.6666 0.0000
0.6666 0.3334 0.0000
0.8342 0.1658 0.5000
0.5000 0.5000 0.5000
0.1658 0.8342 0.5000
0.0000 0.0000 0.0000
```

Computed properties:
M_tot: 0.15 μB per atom
Formation energy (no corrections): -1.150 eV/atom
N(E_F): 12.9 states/eV per cell



5.
Entry from the Alexandria database: a relaxed NaCeTh2Te4 crystal (PBE).

Geometry as POSCAR:
```
NaCeTh2Te4
1.0
-1.5454 -2.5197 3.2283
6.2162 -4.4441 -0.4930
1.5142 5.8065 5.2567
Te Th Ce Na
4 2 1 1
direct
0.5000 0.2451 0.2458
0.0000 0.2462 0.7549
0.0000 0.7538 0.2451
0.5000 0.7549 0.7542
0.5000 0.0000 0.5000
0.0000 0.5000 0.5000
0.5000 0.5000 0.0000
0.0000 0.0000 0.0000
```

Computed properties:
M_tot: 0.14 μB per atom
Formation energy (no corrections): -1.140 eV/atom
N(E_F): 10.3 states/eV per cell



6.
Entry from the Alexandria database: a relaxed Na4CeTh3Te8 crystal (PBE).

Geometry as POSCAR:
```
Na4CeTh3Te8
1.0
8.8582 0.0000 0.0000
0.0000 9.3090 0.3098
-4.4291 -4.4247 6.2651
Te Na Th Ce
8 4 3 1
direct
0.7506 0.2557 0.0049
0.7483 0.7448 0.4966
0.2494 0.7443 0.9951
0.2517 0.2552 0.5034
0.2543 0.2557 0.0049
0.2494 0.7443 0.4988
0.7506 0.2557 0.5012
0.7457 0.7443 0.9951
0.5000 0.0000 0.0000
0.0000 0.0000 0.0000
0.0000 0.0000 0.5000
0.5000 0.0000 0.5000
0.5000 0.5000 0.5000
0.5000 0.5000 0.0000
0.0000 0.5000 0.5000
0.0000 0.5000 0.0000
```

Computed properties:
M_tot: 0.10 μB per atom
Formation energy (no corrections): -1.136 eV/atom
N(E_F): 15.1 states/eV per cell



7.
Entry from the Alexandria database: a relaxed Na4CeTm3Te8 crystal (PBE).

Geometry as POSCAR:
```
Na4CeTm3Te8
1.0
8.8634 0.0000 0.0000
0.0000 9.1247 0.1743
-4.4317 -4.4283 6.2695
Tm Te Na Ce
3 8 4 1
direct
0.5000 0.5000 0.5000
0.5000 0.5000 0.0000
0.0000 0.5000 0.5000
0.7428 0.7280 0.4855
0.7506 0.2670 0.5012
0.7506 0.2670 0.0161
0.2655 0.2670 0.0161
0.2494 0.7330 0.9839
0.2572 0.2720 0.5145
0.2494 0.7330 0.4988
0.7345 0.7330 0.9839
0.5000 0.0000 0.0000
0.5000 0.0000 0.5000
0.0000 0.0000 0.5000
0.0000 0.0000 0.0000
0.0000 0.5000 0.0000
```

Computed properties:
M_tot: 0.06 μB per atom
Formation energy (no corrections): -1.277 eV/atom
N(E_F): 8.6 states/eV per cell



8.
Entry from the Alexandria database: a relaxed NaCe2TmTe4 crystal (PBE).

Geometry as POSCAR:
```
NaCe2TmTe4
1.0
-1.8329 1.9462 -3.5268
-1.5965 -6.9547 -3.0081
-6.9819 -2.2311 2.3973
Te Ce Na Tm
4 2 1 1
direct
0.0000 0.7404 0.7475
0.5000 0.7359 0.2579
0.0000 0.2596 0.2525
0.5000 0.2641 0.7421
0.5000 0.0000 0.5000
0.0000 0.0000 0.0000
0.5000 0.5000 0.0000
0.0000 0.5000 0.5000
```

Computed properties:
M_tot: 0.32 μB per atom
Formation energy (no corrections): -1.278 eV/atom
N(E_F): 15.9 states/eV per cell



What did the fifth record say?
Entry from the Alexandria database: a relaxed NaCeTh2Te4 crystal (PBE).

Geometry as POSCAR:
```
NaCeTh2Te4
1.0
-1.5454 -2.5197 3.2283
6.2162 -4.4441 -0.4930
1.5142 5.8065 5.2567
Te Th Ce Na
4 2 1 1
direct
0.5000 0.2451 0.2458
0.0000 0.2462 0.7549
0.0000 0.7538 0.2451
0.5000 0.7549 0.7542
0.5000 0.0000 0.5000
0.0000 0.5000 0.5000
0.5000 0.5000 0.0000
0.0000 0.0000 0.0000
```

Computed properties:
M_tot: 0.14 μB per atom
Formation energy (no corrections): -1.140 eV/atom
N(E_F): 10.3 states/eV per cell



> What is the formula in the third record?

Na3CeTh3Te8



What did the sixth record say?
Entry from the Alexandria database: a relaxed Na4CeTh3Te8 crystal (PBE).

Geometry as POSCAR:
```
Na4CeTh3Te8
1.0
8.8582 0.0000 0.0000
0.0000 9.3090 0.3098
-4.4291 -4.4247 6.2651
Te Na Th Ce
8 4 3 1
direct
0.7506 0.2557 0.0049
0.7483 0.7448 0.4966
0.2494 0.7443 0.9951
0.2517 0.2552 0.5034
0.2543 0.2557 0.0049
0.2494 0.7443 0.4988
0.7506 0.2557 0.5012
0.7457 0.7443 0.9951
0.5000 0.0000 0.0000
0.0000 0.0000 0.0000
0.0000 0.0000 0.5000
0.5000 0.0000 0.5000
0.5000 0.5000 0.5000
0.5000 0.5000 0.0000
0.0000 0.5000 0.5000
0.0000 0.5000 0.0000
```

Computed properties:
M_tot: 0.10 μB per atom
Formation energy (no corrections): -1.136 eV/atom
N(E_F): 15.1 states/eV per cell



Please write out number 7 again, unchanged.
Entry from the Alexandria database: a relaxed Na4CeTm3Te8 crystal (PBE).

Geometry as POSCAR:
```
Na4CeTm3Te8
1.0
8.8634 0.0000 0.0000
0.0000 9.1247 0.1743
-4.4317 -4.4283 6.2695
Tm Te Na Ce
3 8 4 1
direct
0.5000 0.5000 0.5000
0.5000 0.5000 0.0000
0.0000 0.5000 0.5000
0.7428 0.7280 0.4855
0.7506 0.2670 0.5012
0.7506 0.2670 0.0161
0.2655 0.2670 0.0161
0.2494 0.7330 0.9839
0.2572 0.2720 0.5145
0.2494 0.7330 0.4988
0.7345 0.7330 0.9839
0.5000 0.0000 0.0000
0.5000 0.0000 0.5000
0.0000 0.0000 0.5000
0.0000 0.0000 0.0000
0.0000 0.5000 0.0000
```

Computed properties:
M_tot: 0.06 μB per atom
Formation energy (no corrections): -1.277 eV/atom
N(E_F): 8.6 states/eV per cell